Record 1
Density functional theory data (GGA-PBE) for an optimized crystal structure of ZnGa.

Calculated values
crystal system: tetragonal
VASP energy: -1.98 eV/atom
space-group type: No. 83

Cell lengths 9.549, 9.549, 4.396 Å; angles 90.00, 90.00, 90.00 degrees
Positions (direct):
Zn  0.146  0.664  0.000
Zn  0.275  0.732  0.500
Zn  0.732  0.725  0.500
Zn  0.336  0.146  0.000
Zn  0.725  0.268  0.500
Zn  0.854  0.336  0.000
Zn  0.664  0.854  0.000
Zn  0.268  0.275  0.500
Ga  0.665  0.123  0.000
Ga  0.335  0.877  0.000
Ga  0.493  0.132  0.500
Ga  0.123  0.335  0.000
Ga  0.877  0.665  0.000
Ga  0.868  0.493  0.500
Ga  0.507  0.868  0.500
Ga  0.132  0.507  0.500

=====

Record 2
Density functional theory data (GGA-PBE) for an optimized crystal structure of ZnGa.

Calculated values
crystal system: cubic
VASP energy: -1.83 eV/atom
space-group type: No. 217

Cell lengths 7.703, 7.703, 7.703 Å; angles 90.00, 90.00, 90.00 degrees
Positions (direct):
Ga  0.628  0.372  0.628
Ga  0.372  0.372  0.372
Ga  0.372  0.628  0.628
Ga  0.128  0.872  0.128
Ga  0.628  0.628  0.372
Ga  0.872  0.128  0.128
Ga  0.128  0.128  0.872
Ga  0.872  0.872  0.872
Zn  0.307  0.307  0.693
Zn  0.693  0.693  0.693
Zn  0.307  0.693  0.307
Zn  0.193  0.807  0.807
Zn  0.807  0.193  0.807
Zn  0.693  0.307  0.307
Zn  0.193  0.193  0.193
Zn  0.807  0.807  0.193

=====

Record 3
Density functional theory data (GGA-PBE) for an optimized crystal structure of Zn7Ga6.

Calculated values
crystal system: trigonal
VASP energy: -2.05 eV/atom
space-group type: No. 166

Cell lengths 5.186, 5.186, 10.035 Å; angles 75.02, 75.02, 60.00 degrees
Positions (direct):
Ga  0.047  0.047  0.860
Ga  0.953  0.953  0.140
Ga  0.334  0.334  0.998
Ga  0.154  0.154  0.538
Ga  0.846  0.846  0.462
Ga  0.666  0.666  0.002
Zn  0.590  0.590  0.734
Zn  0.590  0.086  0.734
Zn  0.914  0.410  0.266
Zn  0.086  0.590  0.734
Zn  0.500  0.500  0.500
Zn  0.410  0.914  0.266
Zn  0.410  0.410  0.266

=====

Record 4
Density functional theory data (GGA-PBE) for an optimized crystal structure of ZnGa4.

Calculated values
E above lowest polymorph: 0.2958 eV per atom
crystal system: cubic
VASP energy: -2.35 eV/atom
space-group type: No. 221

Cell lengths 4.860, 4.860, 4.860 Å; angles 90.00, 90.00, 90.00 degrees
Positions (direct):
Ga  0.500  0.000  0.500
Ga  0.500  0.500  0.000
Ga  0.000  0.000  0.000
Ga  0.000  0.500  0.500
Zn  0.500  0.500  0.500

=====

Record 5
Density functional theory data (GGA-PBE) for an optimized crystal structure of Zn8Ga.

Calculated values
crystal system: tetragonal
VASP energy: -1.44 eV/atom
space-group type: No. 139

Cell lengths 3.908, 6.281, 6.281 Å; angles 84.45, 71.88, 71.88 degrees
Positions (direct):
Ga  0.000  0.000  0.000
Zn  0.331  0.000  0.338
Zn  0.669  0.662  0.000
Zn  0.335  0.665  0.665
Zn  0.665  0.335  0.335
Zn  0.000  0.665  0.335
Zn  0.669  0.000  0.662
Zn  0.000  0.335  0.665
Zn  0.331  0.338  0.000

=====

Record 6
Density functional theory data (GGA-PBE) for an optimized crystal structure of ZnGa.

Calculated values
crystal system: cubic
VASP energy: -1.68 eV/atom
space-group type: No. 223

Cell lengths 7.210, 7.210, 7.210 Å; angles 90.00, 90.00, 90.00 degrees
Positions (direct):
Zn  0.500  0.250  0.000
Zn  0.000  0.500  0.750
Zn  0.250  0.000  0.500
Zn  0.750  0.000  0.500
Zn  0.000  0.500  0.250
Zn  0.500  0.750  0.000
Ga  0.250  0.500  0.000
Ga  0.500  0.000  0.750
Ga  0.000  0.750  0.500
Ga  0.750  0.500  0.000
Ga  0.000  0.250  0.500
Ga  0.500  0.000  0.250

=====

What is the formula in the second record? ZnGa

=====

What is the VASP energy in the fifth record? -1.44 eV/atom

=====

Please write out number 4 again, unchanged.
Density functional theory data (GGA-PBE) for an optimized crystal structure of ZnGa4.

Calculated values
E above lowest polymorph: 0.2958 eV per atom
crystal system: cubic
VASP energy: -2.35 eV/atom
space-group type: No. 221

Cell lengths 4.860, 4.860, 4.860 Å; angles 90.00, 90.00, 90.00 degrees
Positions (direct):
Ga  0.500  0.000  0.500
Ga  0.500  0.500  0.000
Ga  0.000  0.000  0.000
Ga  0.000  0.500  0.500
Zn  0.500  0.500  0.500